Record 1
{"formula": "Na3Tl2In3", "functional": "GGA-PBE", "state": "relaxed", "lattice": [[5.1519, 0.0000, 0.0000], [0.0000, 4.9840, -0.3094], [-2.5760, -1.8906, 8.6953]], "species": ["Na", "Na", "Na", "Tl", "Tl", "In", "In", "In"], "fractional_positions": [[0.1272, 0.6275, 0.2544], [0.8728, 0.3725, 0.7456], [0.0000, 0.0000, 0.0000], [0.2506, 0.2502, 0.5012], [0.7494, 0.7498, 0.4988], [0.6234, 0.1254, 0.2469], [0.5000, 0.5000, 0.0000], [0.3766, 0.8746, 0.7531]], "relative_energy_mev_per_atom": 0, "crystal_system": "monoclinic", "ef_ev_per_atom": -0.0945}

=====

Record 2
{"formula": "ZrCdP2S", "functional": "GGA-PBE", "state": "relaxed", "lattice": [[-1.7038, -2.9627, -3.4087], [-0.6821, -3.4326, 3.3245], [-4.4731, 1.6583, 0.7945]], "species": ["P", "P", "S", "Zr", "Cd"], "fractional_positions": [[0.0000, 0.5000, 0.0000], [0.5000, 0.0000, 0.0000], [0.0000, 0.0000, 0.5000], [0.5000, 0.5000, 0.5000], [0.0000, 0.0000, 0.0000]], "raw_formation_energy_kj_per_mol_atoms": 77, "relative_energy_mev_per_atom": 693, "crystal_system": "tetragonal"}

=====

Record 3
{"formula": "Ho2Ge5Pt3", "functional": "GGA-PBE", "state": "relaxed", "lattice": [[-2.9925, 0.7375, -3.0387], [-4.9914, 0.1244, 4.9457], [3.1122, 11.6609, 2.8477]], "species": ["Ho", "Ho", "Ho", "Ho", "Ge", "Ge", "Ge", "Ge", "Ge", "Ge", "Ge", "Ge", "Ge", "Ge", "Pt", "Pt", "Pt", "Pt", "Pt", "Pt"], "fractional_positions": [[0.4792, 0.7472, 0.9583], [0.1738, 0.7425, 0.3475], [0.8262, 0.2425, 0.6525], [0.5208, 0.2472, 0.0417], [0.3981, 0.3918, 0.7963], [0.2885, 0.5088, 0.5771], [0.7115, 0.0088, 0.4229], [0.1189, 0.2706, 0.2378], [0.2962, 0.9251, 0.5925], [0.9525, 0.0869, 0.9049], [0.7038, 0.4251, 0.4075], [0.8811, 0.7706, 0.7622], [0.0475, 0.5869, 0.0951], [0.6019, 0.8918, 0.2037], [0.7769, 0.7038, 0.5538], [0.6049, 0.5212, 0.2097], [0.0546, 0.9669, 0.1093], [0.2231, 0.2038, 0.4462], [0.9454, 0.4669, 0.8907], [0.3951, 0.0212, 0.7903]], "crystal_system": "orthorhombic", "ef_ev_per_atom": -0.7829}

=====

Record 4
{"formula": "La3TlN", "functional": "GGA-PBE", "state": "relaxed", "lattice": [[5.7010, 7.7893, 0.2828], [-6.9206, -3.4335, 5.7941], [4.3585, -3.3078, 3.2457]], "species": ["Tl", "Tl", "N", "N", "La", "La", "La", "La", "La", "La"], "fractional_positions": [[0.1634, 0.8366, 0.2500], [0.8366, 0.1634, 0.7500], [0.3743, 0.6257, 0.2500], [0.6257, 0.3743, 0.7500], [0.5712, 0.9215, 0.2500], [0.0785, 0.4288, 0.2500], [0.9215, 0.5712, 0.7500], [0.4288, 0.0785, 0.7500], [0.0000, 0.0000, 0.0000], [0.0000, 0.0000, 0.5000]], "raw_formation_energy_kj_per_mol_atoms": -7, "crystal_system": "orthorhombic"}

=====

Record 5
{"formula": "Pa3Fe2Ge4", "functional": "GGA-PBE", "state": "relaxed", "lattice": [[3.7387, 0.0000, 0.0000], [1.8694, 7.5744, 0.5849], [1.8694, 3.8346, 6.5581]], "species": ["Pa", "Pa", "Pa", "Fe", "Fe", "Ge", "Ge", "Ge", "Ge"], "fractional_positions": [[0.3696, 0.1304, 0.1304], [0.5000, 0.5000, 0.5000], [0.6304, 0.8696, 0.8696], [0.0000, 0.8079, 0.1921], [0.0000, 0.1921, 0.8079], [0.8350, 0.8419, 0.4882], [0.1650, 0.5118, 0.1581], [0.1650, 0.1581, 0.5118], [0.8350, 0.4882, 0.8419]], "relative_energy_mev_per_atom": 242, "crystal_system": "orthorhombic", "ef_ev_per_atom": -0.2439}

=====

Record 6
{"formula": "SmThSc6", "functional": "GGA-PBE", "state": "relaxed", "lattice": [[4.7180, 0.0000, 0.0000], [0.0000, 6.6547, -0.7533], [0.0000, 0.7455, 6.6555]], "species": ["Sm", "Th", "Sc", "Sc", "Sc", "Sc", "Sc", "Sc"], "fractional_positions": [[0.5000, 0.5000, 0.5000], [0.5000, 0.0000, 0.0000], [0.5000, 0.0000, 0.5000], [0.5000, 0.5000, 0.0000], [0.0000, 0.2468, 0.2468], [0.0000, 0.7532, 0.7532], [0.0000, 0.7533, 0.2467], [0.0000, 0.2467, 0.7533]], "crystal_system": "orthorhombic", "ef_ev_per_atom": 0.0425}

=====

Record 7
{"formula": "LaSmGeSe", "functional": "GGA-PBE", "state": "relaxed", "lattice": [[4.3039, 0.0000, 0.0000], [2.1520, 3.7273, 0.0000], [2.1520, 1.2424, 7.0614]], "species": ["La", "Sm", "Ge", "Se"], "fractional_positions": [[0.6909, 0.6909, 0.9274], [0.1972, 0.1972, 0.4085], [0.9416, 0.9416, 0.1752], [0.4468, 0.4468, 0.6597]], "raw_formation_energy_kj_per_mol_atoms": -137, "crystal_system": "trigonal"}

=====

Record 8
{"formula": "KHf2F", "functional": "GGA-PBE", "state": "relaxed", "lattice": [[6.8727, 0.0000, 0.0000], [0.0000, 6.8727, 0.0000], [3.4363, 3.4363, 4.8303]], "species": ["K", "K", "Hf", "Hf", "Hf", "Hf", "F", "F"], "fractional_positions": [[0.0000, 0.0000, 0.0000], [0.7500, 0.2500, 0.5000], [0.4115, 0.1250, 0.2500], [0.3385, 0.6250, 0.2500], [0.3750, 0.5885, 0.7500], [0.8750, 0.6615, 0.7500], [0.5000, 0.5000, 0.0000], [0.2500, 0.7500, 0.5000]], "raw_formation_energy_kj_per_mol_atoms": 9, "relative_energy_mev_per_atom": 0, "crystal_system": "tetragonal"}

=====

Record 9
{"formula": "Pu2Al6Au9", "functional": "GGA-PBE", "state": "relaxed", "lattice": [[5.7937, 0.0000, 0.0000], [-2.8969, 5.0175, 0.0000], [0.0000, 0.0000, 12.2911]], "species": ["Pu", "Pu", "Al", "Al", "Al", "Al", "Al", "Al", "Au", "Au", "Au", "Au", "Au", "Au", "Au", "Au", "Au"], "fractional_positions": [[0.0000, 0.0000, 0.6781], [0.0000, 0.0000, 0.3219], [0.3333, 0.6667, 0.0000], [0.6667, 0.3333, 0.0000], [0.3333, 0.6667, 0.6653], [0.6667, 0.3333, 0.6653], [0.6667, 0.3333, 0.3347], [0.3333, 0.6667, 0.3347], [0.5000, 0.0000, 0.8327], [0.0000, 0.5000, 0.8327], [0.5000, 0.5000, 0.8327], [0.5000, 0.0000, 0.1673], [0.0000, 0.5000, 0.1673], [0.5000, 0.5000, 0.1673], [0.5000, 0.0000, 0.5000], [0.0000, 0.5000, 0.5000], [0.5000, 0.5000, 0.5000]], "crystal_system": "hexagonal", "ef_ev_per_atom": -0.3061}

=====

Record 10
{"formula": "BaSe2SN", "functional": "GGA-PBE", "state": "relaxed", "lattice": [[5.6953, 0.0000, 0.0000], [0.0000, 5.6953, 0.0000], [0.0000, 0.0000, 3.4773]], "species": ["S", "Ba", "Se", "Se", "N"], "fractional_positions": [[0.0000, 0.0000, 0.0000], [0.5000, 0.5000, 0.5000], [0.0000, 0.5000, 0.0000], [0.5000, 0.0000, 0.0000], [0.0000, 0.0000, 0.5000]], "raw_formation_energy_kj_per_mol_atoms": 5, "relative_energy_mev_per_atom": 0, "crystal_system": "tetragonal"}

=====

Record 11
{"formula": "SmErPdPt", "functional": "GGA-PBE", "state": "relaxed", "lattice": [[-2.0292, 3.9294, 2.2973], [-4.9314, 0.2119, 0.6869], [-1.9017, -0.4991, 4.5793]], "species": ["Pd", "Sm", "Pt", "Er"], "fractional_positions": [[0.5000, 0.5000, 0.5000], [0.2500, 0.2500, 0.2500], [0.0000, 0.0000, 0.0000], [0.7500, 0.7500, 0.7500]], "relative_energy_mev_per_atom": 55, "crystal_system": "cubic", "ef_ev_per_atom": -1.0218}

=====

Record 12
{"formula": "Sr2LiCl", "functional": "GGA-PBE", "state": "relaxed", "lattice": [[5.6407, -1.3505, 0.9077], [2.4889, 1.1278, 5.1960], [1.4185, -4.4183, 3.5960]], "species": ["Sr", "Sr", "Li", "Cl"], "fractional_positions": [[0.2500, 0.2500, 0.2500], [0.7500, 0.7500, 0.7500], [0.0000, 0.0000, 0.0000], [0.5000, 0.5000, 0.5000]], "raw_formation_energy_kj_per_mol_atoms": -50, "relative_energy_mev_per_atom": 272, "crystal_system": "cubic"}

=====

Record 13
{"formula": "PrBeCoP2", "functional": "GGA-PBE", "state": "relaxed", "lattice": [[3.7500, 0.0000, 0.0000], [0.0000, 3.7500, 0.0000], [-1.8750, -1.8750, 5.4580]], "species": ["Pr", "Be", "Co", "P", "P"], "fractional_positions": [[0.0000, 0.0000, 0.0000], [0.2500, 0.7500, 0.5000], [0.7500, 0.2500, 0.5000], [0.6406, 0.6406, 0.2812], [0.3594, 0.3594, 0.7188]], "crystal_system": "tetragonal", "ef_ev_per_atom": -0.8312}

=====

Record 14
{"formula": "SmPaAl2", "functional": "GGA-PBE", "state": "relaxed", "lattice": [[-0.8804, -0.6998, 2.9977], [-1.3298, -2.8374, 0.6569], [8.8247, -5.2288, 3.0811]], "species": ["Pa", "Al", "Al", "Sm"], "fractional_positions": [[0.0000, 0.0000, 0.0000], [0.7484, 0.7484, 0.7547], [0.2516, 0.2516, 0.2453], [0.5000, 0.5000, 0.5000]], "relative_energy_mev_per_atom": 212, "crystal_system": "trigonal", "ef_ev_per_atom": -0.0082}

=====

Record 15
{"formula": "TiHIr2", "functional": "GGA-PBE", "state": "relaxed", "lattice": [[0.0000, 2.9430, 2.9430], [2.9430, 0.0000, 2.9430], [2.9430, 2.9430, 0.0000]], "species": ["H", "Ir", "Ir", "Ti"], "fractional_positions": [[0.0000, 0.0000, 0.0000], [0.2500, 0.2500, 0.2500], [0.7500, 0.7500, 0.7500], [0.5000, 0.5000, 0.5000]], "relative_energy_mev_per_atom": 285, "crystal_system": "cubic"}

=====

Record 16
{"formula": "NaHf3Pt", "functional": "GGA-PBE", "state": "relaxed", "lattice": [[-3.1500, 2.7954, -2.9497], [-4.0484, -2.4835, 1.9697], [-0.3539, 3.5292, 3.7225]], "species": ["Na", "Hf", "Hf", "Hf", "Pt"], "fractional_positions": [[0.5000, 0.5000, 0.5000], [0.0000, 0.5000, 0.0000], [0.0000, 0.0000, 0.5000], [0.5000, 0.0000, 0.0000], [0.0000, 0.0000, 0.0000]], "relative_energy_mev_per_atom": 0, "crystal_system": "cubic", "ef_ev_per_atom": 0.3687}

=====

Record 17
{"formula": "TaAl2Pt", "functional": "GGA-PBE", "state": "relaxed", "lattice": [[-1.7823, 1.2701, 3.5577], [-2.4629, -1.3213, -0.7622], [1.6637, -4.5178, 2.4463]], "species": ["Al", "Al", "Pt", "Ta"], "fractional_positions": [[0.0000, 0.2497, 0.9930], [0.0000, 0.2503, 0.5070], [0.5000, 0.2500, 0.2500], [0.5000, 0.7500, 0.7500]], "crystal_system": "orthorhombic", "ef_ev_per_atom": -0.4999}

=====

Record 18
{"formula": "Nd8CuOs2", "functional": "GGA-PBE", "state": "relaxed", "lattice": [[-6.1667, -0.5673, -1.0616], [1.1556, -5.9848, 4.7627], [0.1649, 6.7984, 3.6865]], "species": ["Os", "Os", "Nd", "Nd", "Nd", "Nd", "Nd", "Nd", "Nd", "Nd", "Cu"], "fractional_positions": [[0.4810, 0.6931, 0.3159], [0.4810, 0.3159, 0.6931], [0.5912, 0.3488, 0.0820], [0.5912, 0.0820, 0.3488], [0.1851, 0.3673, 0.3673], [0.9870, 0.2135, 0.7831], [0.9870, 0.7831, 0.2135], [0.7837, 0.6406, 0.6406], [0.3727, 0.9263, 0.6589], [0.3727, 0.6589, 0.9263], [0.1670, 0.0044, 0.0044]], "crystal_system": "monoclinic", "ef_ev_per_atom": 0.0084}

=====

Record 19
{"formula": "YIn2Te", "functional": "GGA-PBE", "state": "relaxed", "lattice": [[4.1021, 0.0000, 0.0000], [0.0000, 4.4313, 0.0000], [0.0000, 0.0000, 6.1776]], "species": ["In", "In", "Te", "Y"], "fractional_positions": [[0.0000, 0.0000, 0.9968], [0.0000, 0.0000, 0.5032], [0.5000, 0.5000, 0.2500], [0.5000, 0.5000, 0.7500]], "raw_formation_energy_kj_per_mol_atoms": -33, "crystal_system": "orthorhombic"}

=====

Record 20
{"formula": "Sr2AgSnSb", "functional": "GGA-PBE", "state": "relaxed", "lattice": [[-2.8764, 2.2631, 4.7186], [-3.8248, -3.2301, -0.7824], [2.6585, -4.0060, 3.5419]], "species": ["Sb", "Sn", "Ag", "Sr", "Sr"], "fractional_positions": [[0.5000, 0.5000, 0.5000], [0.0000, 0.5000, 0.0000], [0.0000, 0.0000, 0.0000], [0.0000, 0.0000, 0.5000], [0.5000, 0.0000, 0.0000]], "raw_formation_energy_kj_per_mol_atoms": -22, "crystal_system": "tetragonal"}